(1)
DFT (SCAN) results for a PBEsol-optimized structure of Tl2InPt.

Cell: 8.437 8.437 8.437 Å, 25.63 25.63 25.63°
Element x y z (fractional)
Tl1 0.000 0.000 0.000
Tl2 0.232 0.232 0.232
In1 0.468 0.468 0.468
Pt1 0.738 0.738 0.738

Properties
**E_tot**: -4.56957 Ry/atom
**DFT formation energy**: -0.0982 eV/atom
**ΔE to the lowest computed polymorph**: 10 kJ/mol of formula units

(2)
DFT (SCAN) results for a PBEsol-optimized structure of ZnOs2Se.

Cell: 2.811 3.802 5.593 Å, 90.00 90.00 90.00°
Element x y z (fractional)
Zn1 0.000 0.000 0.000
Os1 0.000 0.000 0.475
Os2 0.500 0.500 0.234
Se1 0.500 0.500 0.679

Properties
**Formation energy (no corrections)**: 208.6 kJ/mol of formula units
**E_tot**: -3.21908 Ry/atom
**ΔE to the lowest computed polymorph**: 68 kJ/mol of formula units